First-principles (PBE-GGA) data for an optimized crystal structure of Sr2Tl3SnPd4, as listed in Alexandria via LeMat-Bulk.

The structure in POSCAR format:
```
Sr2Tl3SnPd4
1.0
-2.6022 1.0257 3.9500
3.9195 -0.6767 2.7578
2.5113 10.3429 -1.0312
Tl Pd Sr Sn
3 4 2 1
direct
0.0000 0.5000 0.1238
0.5000 0.0000 0.8762
0.0000 0.0000 0.5000
0.0000 0.5000 0.3769
0.5000 0.5000 0.0000
0.0000 0.0000 0.0000
0.5000 0.0000 0.6231
0.5000 0.0000 0.2363
0.0000 0.5000 0.7637
0.5000 0.5000 0.5000
```

Calculated values
DOS(E_F) in states/eV/atom: 0.2401
Spin magnetization in μB/f.u.: 0.00
Energy of formation from the pure elements in eV per atom: -0.46
Space group: No. 115


First-principles (PBE-GGA) data for an optimized crystal structure of Sr2TlSn4Pd3, as listed in Alexandria via LeMat-Bulk.

The structure in POSCAR format:
```
Sr2TlSn4Pd3
1.0
-3.7232 2.6168 -0.9825
-2.3724 -2.0930 3.4157
3.6881 8.0649 7.5035
Sn Pd Sr Tl
4 3 2 1
direct
0.5000 0.5000 0.0000
0.5000 0.0000 0.6485
0.0000 0.5000 0.3515
0.0000 0.0000 0.0000
0.0000 0.0000 0.5000
0.5000 0.0000 0.8763
0.0000 0.5000 0.1237
0.5000 0.0000 0.2448
0.0000 0.5000 0.7552
0.5000 0.5000 0.5000
```

Calculated values
DOS(E_F) in states/eV/atom: 0.5745
Spin magnetization in μB/f.u.: 0.00
Energy of formation from the pure elements in eV per atom: -0.57
Space group: No. 115